This record from Alexandria describes an optimized crystal structure of Ga2CoNiHg. The functional is PBE.

The structure in POSCAR format:
```
Ga2CoNiHg
1.0
-3.9340 2.0403 -0.0916
-2.1254 -4.0082 2.0066
0.7513 1.6306 4.0527
Ni Co Hg Ga
1 1 1 2
Cartesian
-2.6541 -0.1687 2.9839 Ni
0.0000 0.0000 0.0000 Co
-1.0627 -2.0041 1.0033 Hg
0.3756 0.8153 2.0264 Ga
-1.9670 1.0201 -0.0458 Ga
```

Computed properties:
volume	19.5	A^3/atom
final energy	-3.345	eV/atom